No. 1
Below is SbI2O2 at its PBEsol-relaxed geometry, with properties calculated at the SCAN level.

Calculated values
D(E_F) ... 1.38 states/eV/f.u.
Uncorrected energy ... -24.812 eV/atom
E_form (uncorrected) ... -0.17 eV per atom

a b c (Å): 4.1890 4.1890 6.4401
angles (deg): 90.00 90.00 90.00
Space group P4/mmm (No. 123)
Symmetry-distinct sites (fractional):
Sb1 0.0000 0.0000 0.0000 [1 per cell]
I1 0.0000 0.0000 0.5000 [1 per cell]
I2 0.5000 0.5000 0.5000 [1 per cell]
O1 0.0000 0.5000 0.0000 [2 per cell]


No. 2
Below is Sb4I2O5 at its PBEsol-relaxed geometry, with properties calculated at the SCAN level.

Calculated values
D(E_F) ... 0.00 states/eV/f.u.
Uncorrected energy ... -24.199 eV/atom
E_form (uncorrected) ... -1.14 eV per atom

a b c (Å): 7.0145 5.1798 13.5709
angles (deg): 90.00 96.69 90.00
Space group P2_1/c (No. 14)
Symmetry-distinct sites (fractional):
Sb1 0.1657 0.2218 0.0531 [4 per cell]
Sb2 0.1852 0.6191 0.2965 [4 per cell]
I1 0.4939 0.2070 0.3801 [4 per cell]
O1 0.0000 0.0000 0.5000 [2 per cell]
O2 0.0655 0.0080 0.9176 [4 per cell]
O3 0.0713 0.1674 0.7086 [4 per cell]


No. 3
Below is Sb5IO7 at its PBEsol-relaxed geometry, with properties calculated at the SCAN level.

Calculated values
D(E_F) ... 0.00 states/eV/f.u.
Energy above the lowest structure with this stoichiometry ... 0 meV/atom
Uncorrected energy ... -21.787 eV/atom
E_form (uncorrected) ... -1.27 eV per atom

a b c (Å): 11.3353 12.5932 6.6766
angles (deg): 90.00 90.00 90.00
Space group Pnn2 (No. 34)
Symmetry-distinct sites (fractional):
Sb1 0.0021 0.2435 0.0000 [4 per cell]
Sb2 0.1513 0.2173 0.5234 [4 per cell]
Sb3 0.1694 0.5320 0.8320 [4 per cell]
Sb4 0.1850 0.7547 0.4893 [4 per cell]
Sb5 0.1888 0.9438 0.8445 [4 per cell]
I1 0.0000 0.0000 0.2742 [2 per cell]
I2 0.0000 0.5000 0.3930 [2 per cell]
O1 0.0236 0.6183 0.8631 [4 per cell]
O2 0.0489 0.8499 0.7658 [4 per cell]
O3 0.1582 0.2335 0.8384 [4 per cell]
O4 0.2138 0.8198 0.0363 [4 per cell]
O5 0.2278 0.3754 0.1140 [4 per cell]
O6 0.2445 0.5944 0.0808 [4 per cell]
O7 0.2498 0.1624 0.2046 [4 per cell]


No. 4
Below is Sb5IO7 at its PBEsol-relaxed geometry, with properties calculated at the SCAN level.

Calculated values
D(E_F) ... 0.00 states/eV/f.u.
Energy above the lowest structure with this stoichiometry ... 1 meV/atom
Uncorrected energy ... -21.786 eV/atom
E_form (uncorrected) ... -1.27 eV per atom

a b c (Å): 6.6813 12.5089 13.1052
angles (deg): 90.00 119.47 90.00
Space group P2_1/c (No. 14)
Symmetry-distinct sites (fractional):
Sb1 0.0485 0.2396 0.4508 [4 per cell]
Sb2 0.2922 0.5359 0.5480 [4 per cell]
Sb3 0.3214 0.7348 0.3834 [4 per cell]
Sb4 0.3242 0.5502 0.0677 [4 per cell]
Sb5 0.3493 0.2493 0.7652 [4 per cell]
I1 0.0856 0.0018 0.2662 [4 per cell]
O1 0.0035 0.6094 0.9811 [4 per cell]
O2 0.1047 0.6759 0.4774 [4 per cell]
O3 0.3527 0.2481 0.6067 [4 per cell]
O4 0.3736 0.6570 0.1962 [4 per cell]
O5 0.4631 0.5983 0.4704 [4 per cell]
O6 0.4766 0.6750 0.0286 [4 per cell]
O7 0.4860 0.6105 0.6980 [4 per cell]


No. 5
Below is Sb5IO7 at its PBEsol-relaxed geometry, with properties calculated at the SCAN level.

Calculated values
D(E_F) ... 0.00 states/eV/f.u.
Energy above the lowest structure with this stoichiometry ... 2 meV/atom
Uncorrected energy ... -21.785 eV/atom
E_form (uncorrected) ... -1.27 eV per atom

a b c (Å): 6.7134 6.7134 12.3802
angles (deg): 90.00 90.00 120.00
Space group P-62c (No. 190)
Symmetry-distinct sites (fractional):
Sb1 0.0329 0.3529 0.2500 [6 per cell]
Sb2 0.3333 0.6667 0.5421 [4 per cell]
I1 0.0000 0.0000 0.0000 [2 per cell]
O1 0.0554 0.5592 0.6367 [12 per cell]
O2 0.3333 0.6667 0.2500 [2 per cell]


No. 6
Below is ScSbI2O at its PBEsol-relaxed geometry, with properties calculated at the SCAN level.

Calculated values
D(E_F) ... 2.97 states/eV/f.u.
Uncorrected energy ... -26.492 eV/atom
E_form (uncorrected) ... -0.25 eV per atom

a b c (Å): 6.0362 6.0362 4.0296
angles (deg): 90.00 90.00 90.00
Space group P4/mmm (No. 123)
Symmetry-distinct sites (fractional):
Sc1 0.0000 0.0000 0.0000 [1 per cell]
Sb1 0.5000 0.5000 0.5000 [1 per cell]
I1 0.0000 0.5000 0.5000 [2 per cell]
O1 0.5000 0.5000 0.0000 [1 per cell]


No. 7
Below is TaSbI2O at its PBEsol-relaxed geometry, with properties calculated at the SCAN level.

Calculated values
D(E_F) ... 2.61 states/eV/f.u.
Uncorrected energy ... -35.940 eV/atom
E_form (uncorrected) ... 0.77 eV per atom

a b c (Å): 5.9111 5.9111 3.9508
angles (deg): 90.00 90.00 90.00
Space group P4/mmm (No. 123)
Symmetry-distinct sites (fractional):
Ta1 0.0000 0.0000 0.0000 [1 per cell]
Sb1 0.5000 0.5000 0.5000 [1 per cell]
I1 0.0000 0.5000 0.5000 [2 per cell]
O1 0.5000 0.5000 0.0000 [1 per cell]


No. 8
Below is SbTeI2O at its PBEsol-relaxed geometry, with properties calculated at the SCAN level.

Calculated values
D(E_F) ... 3.20 states/eV/f.u.
Uncorrected energy ... -30.828 eV/atom
E_form (uncorrected) ... 0.02 eV per atom

a b c (Å): 6.0250 6.0250 4.0057
angles (deg): 90.00 90.00 90.00
Space group P4/mmm (No. 123)
Symmetry-distinct sites (fractional):
Sb1 0.0000 0.0000 0.0000 [1 per cell]
Te1 0.5000 0.5000 0.5000 [1 per cell]
I1 0.0000 0.5000 0.0000 [2 per cell]
O1 0.0000 0.0000 0.5000 [1 per cell]


Question: Among the records above, which one has the highest D(E_F)?
Answer: SbTeI2O